Record 1
A plane-wave DFT calculation with PBE was carried out for a geometry-optimized Pd3Pt7 structure.

Results
total magnetic moment = 0.000 μB per atom
DFT formation energy = -26 meV per atom
crystal system = monoclinic

Cell: 14.2714 3.9239 5.6600 Å, 90.00 101.39 90.00°
Space group C2/m (No. 12)
Asymmetric unit:
Pd  0.0000  0.0000  0.0000 x2
Pd  0.2011  0.0000  0.6002 x4
Pt  0.0000  0.0000  0.5000 x2
Pt  0.0999  0.5000  0.2987 x4
Pt  0.0997  0.5000  0.7978 x4
Pt  0.1997  0.0000  0.0978 x4

Record 2
A plane-wave DFT calculation with PBE was carried out for a geometry-optimized Pd5Pt6 structure.

Results
total magnetic moment = 0.000 μB per atom
DFT formation energy = 87 meV per atom
crystal system = monoclinic

Cell: 7.8947 10.5869 4.6450 Å, 90.00 114.75 90.00°
Space group C2/m (No. 12)
Asymmetric unit:
Pd  0.0000  0.0000  0.0000 x2
Pd  0.0000  0.1383  0.5000 x4
Pd  0.0000  0.2746  0.0000 x4
Pt  0.1862  0.3649  0.6303 x8
Pt  0.1890  0.5000  0.1309 x4

Record 3
A plane-wave DFT calculation with PBE was carried out for a geometry-optimized Pd7Pt3 structure.

Results
energy above the lowest structure with this stoichiometry = 0.000 eV/atom
total magnetic moment = 0.200 μB per atom
DFT formation energy = -16 meV per atom
crystal system = orthorhombic

Cell: 3.9655 3.9539 19.6955 Å, 90.00 90.00 90.00°
Space group Amm2 (No. 38)
Asymmetric unit:
Pd  0.0000  0.0000  0.0000 x2
Pd  0.0000  0.0000  0.1997 x2
Pd  0.0000  0.0000  0.4002 x2
Pd  0.0000  0.0000  0.7994 x2
Pd  0.5000  0.0000  0.1003 x2
Pd  0.5000  0.0000  0.5000 x2
Pd  0.5000  0.0000  0.8989 x2
Pt  0.0000  0.0000  0.5997 x2
Pt  0.5000  0.0000  0.2998 x2
Pt  0.5000  0.0000  0.6999 x2

Record 4
A plane-wave DFT calculation with PBE was carried out for a geometry-optimized Pd4Pt5 structure.

Results
energy above the lowest structure with this stoichiometry = 0.000 eV/atom
total magnetic moment = 0.000 μB per atom
DFT formation energy = -36 meV per atom
crystal system = orthorhombic

Cell: 2.7813 8.3991 11.9286 Å, 90.00 90.00 90.00°
Space group Immm (No. 71)
Asymmetric unit:
Pd  0.0000  0.0000  0.1657 x4
Pd  0.0000  0.3344  0.5000 x4
Pt  0.0000  0.0000  0.5000 x2
Pt  0.0000  0.3324  0.1671 x8

Record 5
A plane-wave DFT calculation with PBE was carried out for a geometry-optimized PdPt2 structure.

Results
energy above the lowest structure with this stoichiometry = 0.000 eV/atom
total magnetic moment = 0.001 μB per atom
DFT formation energy = -34 meV per atom
crystal system = tetragonal

Cell: 2.7957 2.7957 11.9069 Å, 90.00 90.00 90.00°
Space group I4/mmm (No. 139)
Asymmetric unit:
Pd  0.0000  0.0000  0.0000 x2
Pt  0.0000  0.0000  0.3337 x4

Record 6
A plane-wave DFT calculation with PBE was carried out for a geometry-optimized PdPt2 structure.

Results
energy above the lowest structure with this stoichiometry = 0.148 eV/atom
total magnetic moment = 0.000 μB per atom
DFT formation energy = 115 meV per atom
crystal system = orthorhombic

Cell: 3.9751 9.0019 5.4441 Å, 90.00 90.00 90.00°
Space group Cmcm (No. 63)
Asymmetric unit:
Pd  0.0000  0.1695  0.2500 x4
Pt  0.0000  0.1398  0.7500 x4
Pt  0.0000  0.5000  0.0000 x4

Record 7
A plane-wave DFT calculation with PBE was carried out for a geometry-optimized Pd5Pt7 structure.

Results
energy above the lowest structure with this stoichiometry = 0.000 eV/atom
total magnetic moment = 0.001 μB per atom
DFT formation energy = -13 meV per atom
crystal system = monoclinic

Cell: 14.5323 2.7735 10.4267 Å, 90.00 117.52 90.00°
Space group C2/m (No. 12)
Asymmetric unit:
Pd  0.0000  0.0000  0.0000 x2
Pd  0.1674  0.0000  0.5004 x4
Pd  0.1952  0.5000  0.7515 x4
Pt  0.0000  0.5000  0.5000 x2
Pt  0.0266  0.0000  0.7465 x4
Pt  0.1398  0.5000  0.2495 x4
Pt  0.1654  0.5000  0.9980 x4

Record 8
A plane-wave DFT calculation with PBE was carried out for a geometry-optimized Pd8Pt structure.

Results
total magnetic moment = 0.331 μB per atom
DFT formation energy = 0 meV per atom
crystal system = tetragonal

Cell: 8.3835 8.3835 3.9498 Å, 90.00 90.00 90.00°
Space group I4/mmm (No. 139)
Asymmetric unit:
Pd  0.0000  0.3332  0.0000 x8
Pd  0.1663  0.1663  0.5000 x8
Pt  0.0000  0.0000  0.0000 x2

Record 9
A plane-wave DFT calculation with PBE was carried out for a geometry-optimized Pd2Pt13 structure.

Results
energy above the lowest structure with this stoichiometry = 0.000 eV/atom
total magnetic moment = 0.000 μB per atom
DFT formation energy = 191 meV per atom
crystal system = trigonal

Cell: 8.9924 8.9924 10.7609 Å, 90.00 90.00 120.00°
Space group R-3m (No. 166, hexagonal axes)
Asymmetric unit:
Pd  0.0000  0.0000  0.2469 x6
Pt  0.0000  0.0000  0.0000 x3
Pt  0.0029  0.5014  0.3719 x18
Pt  0.0202  0.5101  0.1209 x18

Record 10
A plane-wave DFT calculation with PBE was carried out for a geometry-optimized Pd2Pt5 structure.

Results
energy above the lowest structure with this stoichiometry = 0.000 eV/atom
total magnetic moment = 0.000 μB per atom
DFT formation energy = 22 meV per atom
crystal system = monoclinic

Cell: 12.5556 4.8037 7.2522 Å, 90.00 90.84 90.00°
Space group C2/c (No. 15)
Asymmetric unit:
Pd  0.0715  0.1612  0.1059 x8
Pt  0.0000  0.3417  0.7500 x4
Pt  0.1423  0.3387  0.4665 x8
Pt  0.2146  0.1657  0.8184 x8

Record 11
A plane-wave DFT calculation with PBE was carried out for a geometry-optimized Pd3Pt4 structure.

Results
energy above the lowest structure with this stoichiometry = 0.000 eV/atom
total magnetic moment = 0.017 μB per atom
DFT formation energy = -25 meV per atom
crystal system = orthorhombic

Cell: 2.7834 3.9829 19.5784 Å, 90.00 90.00 90.00°
Space group Immm (No. 71)
Asymmetric unit:
Pd  0.0000  0.0000  0.0000 x2
Pd  0.0000  0.0000  0.2860 x4
Pt  0.0000  0.0000  0.1429 x4
Pt  0.0000  0.0000  0.4281 x4

Record 12
A plane-wave DFT calculation with PBE was carried out for a geometry-optimized Pd4Pt structure.

Results
energy above the lowest structure with this stoichiometry = 1.160 eV/atom
total magnetic moment = 0.000 μB per atom
DFT formation energy = 1152 meV per atom
crystal system = cubic

Cell: 4.8425 4.8425 4.8425 Å, 90.00 90.00 90.00°
Space group Pm-3m (No. 221)
Asymmetric unit:
Pd  0.0000  0.0000  0.0000 x1
Pd  0.0000  0.5000  0.5000 x3
Pt  0.5000  0.5000  0.5000 x1

| no. | calculated volume (Å³/f.u.) | calculated total energy (eV for the cell shown) |
| --- | --- | --- |
| 1 | 155.4 | -116.26 |
| 2 | 176.3 | -122.51 |
| 3 | 154.4 | -109.27 |
| 4 | 139.3 | -102.60 |
| 5 | 46.5 | -34.75 |
| 6 | 48.7 | -67.72 |
| 7 | 186.4 | -136.81 |
| 8 | 138.8 | -95.16 |
| 9 | 251.2 | -258.14 |
| 10 | 109.3 | -161.75 |
| 11 | 108.5 | -79.84 |
| 12 | 113.6 | -21.05 |